The following is a DFT calculation (GGA-PBE) of a relaxed structure of TbDyYTh.

Computed properties:
For the magnetic moment, the calculation gives 0.050 μB/atom. The calculation puts the calculated formation energy at 0.01 eV per atom. The density of states at the Fermi level is 1.583 states/eV per atom. The energy above the most stable polymorph in this dataset comes out at 0 meV/atom.

```
TbDyYTh
1.0
-0.2106 -3.5889 -0.0678
2.8325 1.6630 -1.4644
4.6861 1.3283 10.5730
Y Tb Dy Th
1 1 1 1
direct
0.1348 0.9655 0.1147
0.4716 0.1335 0.6204
0.9703 0.3833 0.3691
0.3013 0.5485 0.8655
```

---

The following is a DFT calculation (GGA-PBE) of a relaxed structure of Nb2CrCuIr.

Computed properties:
For the magnetic moment, the calculation gives 0.000 μB/atom. The calculation puts the calculated formation energy at 1.44 eV per atom. The density of states at the Fermi level is 2.046 states/eV per atom.

```
Nb2CrCuIr
1.0
4.5489 0.0000 0.0000
0.0000 4.4483 0.0000
0.0000 0.0000 4.5489
Ir Cu Cr Nb
1 1 1 2
direct
0.0000 0.5000 0.0000
0.0000 0.0000 0.0000
0.5000 0.5000 0.5000
0.5000 0.0000 0.0000
0.0000 0.0000 0.5000
```

---

The following is a DFT calculation (GGA-PBE) of a relaxed structure of Ba4AsPCl2.

Computed properties:
For the magnetic moment, the calculation gives 0.000 μB/atom. The value obtained for the energy relative to the elements, uncorrected is -1.6778 eV per atom.

```
Ba4AsPCl2
1.0
4.7042 0.0000 0.0000
0.0000 8.1737 0.1432
0.0000 -2.8538 7.6652
Cl As Ba P
2 1 4 1
direct
0.5000 0.0000 0.5000
0.0000 0.5000 0.5000
0.0000 0.0000 0.0000
0.0000 0.7370 0.2230
0.0000 0.2630 0.7770
0.5000 0.2467 0.2255
0.5000 0.7533 0.7745
0.5000 0.5000 0.0000
```

---

The following is a DFT calculation (GGA-PBE) of a relaxed structure of EuLuTlPb.

Computed properties:
For the magnetic moment, the calculation gives 1.783 μB/atom. The calculation puts the calculated formation energy at -0.36 eV per atom. The density of states at the Fermi level is 0.537 states/eV per atom.

```
EuLuTlPb
1.0
-1.9074 -2.8936 -4.2354
0.6567 -5.4318 -0.1204
-4.3202 -3.2939 0.6603
Tl Eu Lu Pb
1 1 1 1
direct
0.0000 0.0000 0.0000
0.7500 0.7500 0.7500
0.2500 0.2500 0.2500
0.5000 0.5000 0.5000
```

---

The following is a DFT calculation (GGA-PBE) of a relaxed structure of ZnSnB3.

Computed properties:
For the magnetic moment, the calculation gives 0.000 μB/atom. The calculation puts the calculated formation energy at 1.76 eV per atom. The density of states at the Fermi level is 0.579 states/eV per atom. The energy above the most stable polymorph in this dataset comes out at 0 meV/atom.

```
ZnSnB3
1.0
-2.7064 0.4606 3.1447
-3.1753 -0.2143 -2.7013
-0.1366 -4.1434 0.4893
B Zn Sn
3 1 1
direct
0.0000 0.0000 0.5000
0.5000 0.0000 0.0000
0.0000 0.5000 0.0000
0.0000 0.0000 0.0000
0.5000 0.5000 0.5000
```

---

The following is a DFT calculation (GGA-PBE) of a relaxed structure of RbTlHg2Au2.

Computed properties:
For the magnetic moment, the calculation gives 0.000 μB/atom. The calculation puts the calculated formation energy at -0.14 eV per atom. The density of states at the Fermi level is 0.365 states/eV per atom.

```
RbTlHg2Au2
1.0
4.9695 0.0000 0.0000
-2.4847 4.3037 0.0000
0.0000 0.0000 8.2378
Au Rb Hg Tl
2 1 2 1
direct
0.6667 0.3333 0.6912
0.3333 0.6667 0.3088
0.0000 0.0000 0.0000
0.3333 0.6667 0.7146
0.6667 0.3333 0.2854
0.0000 0.0000 0.5000
```

---

Calculated uncorrected energy, -5.77 -7.10 -4.36 -5.58 -3.30 -1.89 eV per atom (same order as the records).